VASP calculation (PBE) on an optimized crystal structure of NaCo2As2.

Output
Raw total energy   -4.993 eV/atom
N(E_F)   3.41 states/eV/f.u.

Cell: 7.278 7.278 2.792 Å, 90.00 90.00 90.00°
Space group P4/mbm (No. 127)
Asymmetric unit:
Na  0.000  0.000  0.000 x2
Co  0.130  0.370  0.500 x4
As  0.150  0.650  0.000 x4

=====

VASP calculation (PBE) on an optimized crystal structure of NaCo3As.

Output
Distance to the lowest polymorph of the same formula   0.000 eV per formula unit
Raw total energy   -4.875 eV/atom
N(E_F)   6.05 states/eV/f.u.

Cell: 4.456 4.456 4.456 Å, 90.00 90.00 90.00°
Space group Pm-3m (No. 221)
Asymmetric unit:
Na  0.000  0.000  0.000 x1
Co  0.000  0.500  0.500 x3
As  0.500  0.500  0.500 x1

=====

VASP calculation (PBE) on an optimized crystal structure of Na3Co4As4.

Output
Raw total energy   -5.000 eV/atom
N(E_F)   2.18 states/eV/f.u.

Cell: 7.185 7.185 7.185 Å, 90.00 90.00 90.00°
Space group I-43m (No. 217)
Asymmetric unit:
Na  0.000  0.000  0.500 x6
Co  0.130  0.130  0.130 x8
As  0.188  0.188  0.812 x8

=====

VASP calculation (PBE) on an optimized crystal structure of Na2CoNi3As4.

Output
Raw total energy   -4.874 eV/atom
N(E_F)   6.17 states/eV/f.u.

Cell: 4.082 4.082 9.763 Å, 90.00 90.00 90.00°
Space group P-4m2 (No. 115)
Asymmetric unit:
Na  0.000  0.500  0.245 x2
Co  0.500  0.500  0.000 x1
Ni  0.000  0.000  0.000 x1
Ni  0.000  0.500  0.629 x2
As  0.000  0.000  0.500 x1
As  0.000  0.500  0.873 x2
As  0.500  0.500  0.500 x1

=====

no.,DFT formation energy (eV/atom)
1,-0.03
2,0.58
3,-0.37
4,-0.31